Compound: NaLiGaTe3
Source: Alexandria via LeMat-Bulk
Functional: PBE
Structure: relaxed

Cell: 9.365 3.796 11.474 Å, 90.00 107.30 90.00°
Fractional positions:
1 Na 0.199 0.250 0.169
2 Na 0.801 0.750 0.831
3 Li 0.350 0.750 0.922
4 Li 0.650 0.250 0.078
5 Ga 0.069 0.250 0.626
6 Ga 0.931 0.750 0.374
7 Te 0.085 0.250 0.854
8 Te 0.209 0.750 0.539
9 Te 0.470 0.750 0.179
10 Te 0.530 0.250 0.821
11 Te 0.791 0.250 0.461
12 Te 0.915 0.750 0.146

Raw formation energy (eV per atom): -0.523
Size of the total moment (μB per formula unit): 0.0
Energy (eV/atom): -3.14

=====

Compound: Na2LiTiGa
Source: Alexandria via LeMat-Bulk
Functional: PBE
Structure: relaxed

Cell: 5.823 5.823 5.154 Å, 90.00 90.00 90.00°
Fractional positions:
1 Na 0.000 0.500 0.000
2 Na 0.500 0.000 0.000
3 Li 0.000 0.000 0.500
4 Ti 0.000 0.000 0.000
5 Ga 0.500 0.500 0.500

Size of the total moment (μB per formula unit): 3.4
Energy (eV/atom): -2.00
Energy of formation (eV per atom): 1.091

=====

Compound: Na2LiZn12Ga3
Source: Alexandria via LeMat-Bulk
Functional: PBE
Structure: relaxed

Cell: 6.862 6.862 6.862 Å, 85.63 85.63 85.63°
Fractional positions:
1 Na 0.230 0.230 0.230
2 Na 0.770 0.770 0.770
3 Li 0.500 0.500 0.500
4 Zn 0.075 0.075 0.648
5 Zn 0.075 0.648 0.075
6 Zn 0.215 0.698 0.698
7 Zn 0.302 0.302 0.785
8 Zn 0.302 0.785 0.302
9 Zn 0.352 0.925 0.925
10 Zn 0.648 0.075 0.075
11 Zn 0.698 0.215 0.698
12 Zn 0.698 0.698 0.215
13 Zn 0.785 0.302 0.302
14 Zn 0.925 0.352 0.925
15 Zn 0.925 0.925 0.352
16 Ga 0.000 0.500 0.500
17 Ga 0.500 0.000 0.500
18 Ga 0.500 0.500 0.000

Size of the total moment (μB per formula unit): 0.0
Energy (eV/atom): -1.56
Energy of formation (eV per atom): 0.047

=====

Compound: Li2Nb2Ga
Source: Alexandria via LeMat-Bulk
Functional: PBE
Structure: relaxed

Cell: 6.077 6.077 4.067 Å, 90.00 90.00 90.00°
Fractional positions:
1 Li 0.137 0.363 0.000
2 Li 0.363 0.863 0.000
3 Li 0.637 0.137 0.000
4 Li 0.863 0.637 0.000
5 Nb 0.159 0.659 0.500
6 Nb 0.341 0.159 0.500
7 Nb 0.659 0.841 0.500
8 Nb 0.841 0.341 0.500
9 Ga 0.000 0.000 0.000
10 Ga 0.500 0.500 0.000

Size of the total moment (μB per formula unit): 0.0
Energy (eV/atom): -5.12
Energy relative to the lowest polymorph listed for this composition (meV per atom): 0
Energy of formation (eV per atom): 0.276

=====

Compound: LiNb2Ga2
Source: Alexandria via LeMat-Bulk
Functional: PBE
Structure: relaxed

Cell: 8.133 8.133 2.818 Å, 90.00 90.00 90.00°
Fractional positions:
1 Li 0.000 0.000 0.000
2 Li 0.500 0.500 0.000
3 Nb 0.117 0.383 0.000
4 Nb 0.383 0.883 0.000
5 Nb 0.617 0.117 0.000
6 Nb 0.883 0.617 0.000
7 Ga 0.179 0.679 0.500
8 Ga 0.321 0.179 0.500
9 Ga 0.679 0.821 0.500
10 Ga 0.821 0.321 0.500

Size of the total moment (μB per formula unit): 0.0
Energy (eV/atom): -5.67
Energy relative to the lowest polymorph listed for this composition (meV per atom): 48
Energy of formation (eV per atom): -0.051

=====

Compound: LiNbGa
Source: Alexandria via LeMat-Bulk
Functional: PBE
Structure: relaxed

Cell: 6.895 6.446 4.346 Å, 76.69 65.48 37.84°
Fractional positions:
1 Li 0.172 0.828 0.172
2 Li 0.828 0.172 0.828
3 Nb 0.250 0.250 0.250
4 Nb 0.750 0.750 0.750
5 Ga 0.392 0.392 0.608
6 Ga 0.608 0.608 0.392

Size of the total moment (μB per formula unit): 0.0
Energy (eV/atom): -4.96
Energy of formation (eV per atom): 0.040

=====

Compound: LiNb2Ga2
Source: Alexandria via LeMat-Bulk
Functional: PBE
Structure: relaxed

Cell: 3.802 3.802 13.204 Å, 90.00 90.00 90.00°
Fractional positions:
1 Li 0.000 0.000 0.000
2 Li 0.500 0.500 0.500
3 Nb 0.000 0.500 0.250
4 Nb 0.000 0.500 0.750
5 Nb 0.500 0.000 0.250
6 Nb 0.500 0.000 0.750
7 Ga 0.000 0.000 0.408
8 Ga 0.000 0.000 0.592
9 Ga 0.500 0.500 0.092
10 Ga 0.500 0.500 0.908

Size of the total moment (μB per formula unit): 0.0
Energy (eV/atom): -5.49
Energy relative to the lowest polymorph listed for this composition (meV per atom): 226
Energy of formation (eV per atom): 0.127

=====

Compound: Li2Nb2Ga
Source: Alexandria via LeMat-Bulk
Functional: PBE
Structure: relaxed

Cell: 3.876 3.876 11.016 Å, 90.00 90.00 90.00°
Fractional positions:
1 Li 0.000 0.000 0.084
2 Li 0.000 0.000 0.916
3 Li 0.500 0.500 0.416
4 Li 0.500 0.500 0.584
5 Nb 0.000 0.500 0.250
6 Nb 0.000 0.500 0.750
7 Nb 0.500 0.000 0.250
8 Nb 0.500 0.000 0.750
9 Ga 0.000 0.000 0.500
10 Ga 0.500 0.500 0.000

Size of the total moment (μB per formula unit): 0.0
Energy (eV/atom): -4.92
Energy relative to the lowest polymorph listed for this composition (meV per atom): 204
Energy of formation (eV per atom): 0.480

=====

Number 4 is which compound? Li2Nb2Ga

=====

The lowest energy belongs to which entry? number 5

=====

Which of these has the highest size of the total moment? Na2LiTiGa